1.
Entry from the Alexandria database: CePr3Zn8 after structural relaxation (PBE).

POSCAR file:
```
CePr3Zn8
1.0
5.688 0.000 0.000
-2.844 4.926 0.000
0.000 0.000 8.784
Ce Pr Zn
1 3 8
Direct
0.000 0.000 0.000
0.000 0.000 0.373
0.667 0.333 0.494
0.667 0.333 0.884
0.005 0.502 0.188
0.166 0.331 0.690
0.166 0.834 0.690
0.333 0.667 0.441
0.333 0.667 0.938
0.498 0.502 0.188
0.498 0.995 0.188
0.669 0.834 0.690
```

- energy above the most stable polymorph in this dataset (eV per formula unit) = 0.239
- space group = P3m1


2.
Entry from the Alexandria database: Tb2Tm5Sc after structural relaxation (PBE).

POSCAR file:
```
Tb2Tm5Sc
1.0
0.000 5.518 6.146
3.550 0.000 6.146
3.550 5.518 0.000
Tb Tm Sc
2 5 1
Direct
0.247 0.753 0.247
0.753 0.247 0.753
0.168 0.664 0.832
0.249 0.249 0.251
0.664 0.168 0.336
0.666 0.666 0.334
0.749 0.749 0.751
0.166 0.166 0.834
```

- space group = Fmm2


3.
Entry from the Alexandria database: CuSb after structural relaxation (PBE).

POSCAR file:
```
CuSb
1.0
3.245 0.000 0.000
0.000 3.245 0.000
0.000 0.000 7.889
Cu Sb
2 2
Direct
0.250 0.250 0.073
0.750 0.750 0.927
0.250 0.250 0.717
0.750 0.750 0.283
```

- formation energy without anion corrections (eV/atom) = 0.092
- space group = P4/nmm


4.
Entry from the Alexandria database: InIr2Rh after structural relaxation (PBE).

POSCAR file:
```
InIr2Rh
1.0
-2.009 2.009 3.885
2.009 -2.009 3.885
2.009 2.009 -3.885
In Ir Rh
1 2 1
Direct
0.000 0.000 0.000
0.250 0.750 0.500
0.500 0.500 0.000
0.750 0.250 0.500
```

- space group = I-4m2


Number 1: uncorrected energy -33.83 eV for the cell shown, calculated volume 246.1 Å³ per cell. Number 2: uncorrected energy -37.85 eV for the cell shown, calculated volume 240.8 Å³ per cell. Number 3: uncorrected energy -16.07 eV for the cell shown, calculated volume 83.1 Å³ per cell. Number 4: uncorrected energy -27.85 eV for the cell shown, calculated volume 62.7 Å³ per cell.